# 1
VASP calculation (GGA-PBEsol) on an optimized crystal structure of BeCo2Ir.

It has space group Cm (No. 8), with a = 8.3559 Å, b = 2.6285 Å, c = 4.1975 Å, α = 90.00°, β = 110.90° and γ = 90.00°. Symmetry generates all atoms from Be at (0.0000, 0.0000, 0.0000), Co at (0.2246, 0.5000, 0.3192), Co at (0.4805, 0.0000, 0.4882) and Ir at (0.2547, 0.0000, 0.8409).

For the energy relative to the elements, the calculation gives -96 meV per atom.


# 2
VASP calculation (GGA-PBEsol) on an optimized crystal structure of Be2CoIr.

It has space group P4/mmm (No. 123), with a = 3.7658 Å, b = 3.7658 Å, c = 2.7445 Å, α = 90.00°, β = 90.00° and γ = 90.00°. Symmetry generates all atoms from Be at (0.0000, 0.5000, 0.0000), Co at (0.0000, 0.0000, 0.5000) and Ir at (0.5000, 0.5000, 0.5000).

As for the polymorph energy (0 for the lowest one): 28 meV per atom. For the energy relative to the elements, the calculation gives -429 meV per atom.


# 3
VASP calculation (GGA-PBEsol) on an optimized crystal structure of BeCo2Ir.

It has space group P4mm (No. 99), with a = 2.7214 Å, b = 2.7214 Å, c = 5.7377 Å, α = 90.00°, β = 90.00° and γ = 90.00°. Symmetry generates all atoms from Be at (0.0000, 0.0000, 0.0000), Co at (0.0000, 0.0000, 0.4631), Co at (0.5000, 0.5000, 0.2164) and Ir at (0.5000, 0.5000, 0.7583).

For the energy relative to the elements, the calculation gives -155 meV per atom.


# 4
VASP calculation (GGA-PBEsol) on an optimized crystal structure of ZrBe2CoIr.

It has space group P4/mmm (No. 123), with a = 4.3099 Å, b = 4.3099 Å, c = 4.1587 Å, α = 90.00°, β = 90.00° and γ = 90.00°. Symmetry generates all atoms from Zr at (0.0000, 0.0000, 0.0000), Be at (0.0000, 0.5000, 0.0000), Co at (0.0000, 0.0000, 0.5000) and Ir at (0.5000, 0.5000, 0.5000).

For the energy relative to the elements, the calculation gives 1927 meV per atom.


# 5
VASP calculation (GGA-PBEsol) on an optimized crystal structure of KBe2Co.

It has space group Pmmm (No. 47), with a = 2.5085 Å, b = 4.7564 Å, c = 4.8323 Å, α = 90.00°, β = 90.00° and γ = 90.00°. Symmetry generates all atoms from K at (0.0000, 0.0000, 0.0000), Be at (0.0000, 0.5000, 0.5000), Be at (0.5000, 0.0000, 0.5000) and Co at (0.5000, 0.5000, 0.0000).

For the energy relative to the elements, the calculation gives 1333 meV per atom.


# 6
VASP calculation (GGA-PBEsol) on an optimized crystal structure of KBeCo2.

It has space group P4mm (No. 99), with a = 2.8045 Å, b = 2.8045 Å, c = 7.5023 Å, α = 90.00°, β = 90.00° and γ = 90.00°. Symmetry generates all atoms from K at (0.0000, 0.0000, 0.0000), Be at (0.5000, 0.5000, 0.3578), Co at (0.0000, 0.0000, 0.4840) and Co at (0.5000, 0.5000, 0.6590).

For the energy relative to the elements, the calculation gives 560 meV per atom.


# 7
VASP calculation (GGA-PBEsol) on an optimized crystal structure of KBeCo2.

It has space group Pmmm (No. 47), with a = 2.5252 Å, b = 4.6658 Å, c = 4.7587 Å, α = 90.00°, β = 90.00° and γ = 90.00°. Symmetry generates all atoms from K at (0.0000, 0.0000, 0.0000), Be at (0.5000, 0.0000, 0.5000), Co at (0.0000, 0.5000, 0.5000) and Co at (0.5000, 0.5000, 0.0000).

For the energy relative to the elements, the calculation gives 1251 meV per atom.


# 8
VASP calculation (GGA-PBEsol) on an optimized crystal structure of KBeCo2.

It has space group Pm (No. 6), with a = 2.5794 Å, b = 3.8371 Å, c = 6.7968 Å, α = 90.00°, β = 100.15° and γ = 90.00°. Symmetry generates all atoms from K at (0.0000, 0.0000, 0.0000), Be at (0.6664, 0.5000, 0.3638), Co at (0.2842, 0.5000, 0.6173) and Co at (0.7398, 0.0000, 0.5280).

For the energy relative to the elements, the calculation gives 621 meV per atom.


# 9
VASP calculation (GGA-PBEsol) on an optimized crystal structure of K2BeCoN.

It has space group P4/mmm (No. 123), with a = 5.9032 Å, b = 5.9032 Å, c = 3.0174 Å, α = 90.00°, β = 90.00° and γ = 90.00°. Symmetry generates all atoms from K at (0.0000, 0.5000, 0.0000), Be at (0.0000, 0.0000, 0.5000), Co at (0.5000, 0.5000, 0.5000) and N at (0.0000, 0.0000, 0.0000).

The uncorrected formation energy comes out at 0.404 eV per atom.


# 10
VASP calculation (GGA-PBEsol) on an optimized crystal structure of La4BeCo.

It has space group F-43m (No. 216), with a = 8.6964 Å, b = 8.6964 Å, c = 8.6964 Å, α = 90.00°, β = 90.00° and γ = 90.00°. Symmetry generates all atoms from La at (0.1252, 0.1252, 0.1252), Be at (0.0000, 0.0000, 0.5000) and Co at (0.2500, 0.2500, 0.7500).

For the energy relative to the elements, the calculation gives 1017 meV per atom.


# 11
VASP calculation (GGA-PBEsol) on an optimized crystal structure of La2BeCo.

It has space group P4/mmm (No. 123), with a = 3.5191 Å, b = 3.5191 Å, c = 6.8274 Å, α = 90.00°, β = 90.00° and γ = 90.00°. Symmetry generates all atoms from La at (0.0000, 0.0000, 0.2394), Be at (0.5000, 0.5000, 0.5000) and Co at (0.5000, 0.5000, 0.0000).

For the energy relative to the elements, the calculation gives 175 meV per atom.


# 12
VASP calculation (GGA-PBEsol) on an optimized crystal structure of La2BeCo.

It has space group R3m (No. 160, hexagonal axes), with a = 3.9302 Å, b = 3.9302 Å, c = 20.6886 Å, α = 90.00°, β = 90.00° and γ = 120.00°. Symmetry generates all atoms from La at (0.0000, 0.0000, 0.0000), La at (0.0000, 0.0000, 0.1752), Be at (0.0000, 0.0000, 0.7546) and Co at (0.0000, 0.0000, 0.4202).

For the energy relative to the elements, the calculation gives -64 meV per atom.


# 13
VASP calculation (GGA-PBEsol) on an optimized crystal structure of LaBe2Co.

It has space group P4/mmm (No. 123), with a = 2.8309 Å, b = 2.8309 Å, c = 6.8144 Å, α = 90.00°, β = 90.00° and γ = 90.00°. Symmetry generates all atoms from La at (0.0000, 0.0000, 0.0000), Be at (0.5000, 0.5000, 0.3445) and Co at (0.0000, 0.0000, 0.5000).

As for the polymorph energy (0 for the lowest one): 186 meV per atom. For the energy relative to the elements, the calculation gives 62 meV per atom.


# 14
VASP calculation (GGA-PBEsol) on an optimized crystal structure of LaBe2Co.

It has space group Cmmm (No. 65), with a = 4.8424 Å, b = 7.5434 Å, c = 3.2287 Å, α = 90.00°, β = 90.00° and γ = 90.00°. Symmetry generates all atoms from La at (0.0000, 0.0000, 0.0000), Be at (0.2500, 0.2500, 0.5000) and Co at (0.0000, 0.5000, 0.0000).

As for the polymorph energy (0 for the lowest one): 701 meV per atom. For the energy relative to the elements, the calculation gives 576 meV per atom.


# 15
VASP calculation (GGA-PBEsol) on an optimized crystal structure of LaBe2Co.

It has space group Cm (No. 8), with a = 6.5490 Å, b = 3.9084 Å, c = 5.0453 Å, α = 90.00°, β = 105.50° and γ = 90.00°. Symmetry generates all atoms from La at (0.0000, 0.0000, 0.0000), Be at (0.0971, 0.5000, 0.4981), Be at (0.2776, 0.0000, 0.5324) and Co at (0.4254, 0.5000, 0.4632).

As for the polymorph energy (0 for the lowest one): 0 meV per atom. For the energy relative to the elements, the calculation gives -124 meV per atom.